DFT (PBE-GGA) results for a relaxed BaLaTe4 crystal.

abc: 6.610 6.610 6.610
angles: 60.00 60.00 60.00
Element x y z (fractional)
Ba 0.000 0.000 0.000
La 0.750 0.750 0.750
Te 0.376 0.376 0.376
Te 0.376 0.376 0.873
Te 0.376 0.873 0.376
Te 0.873 0.376 0.376

Computed properties:
SG: No. 216
magnetic moment: 0.177 μB/atom
formation energy without anion corrections: -409 meV/atom
N(E_F): 1.0470 states/eV/atom
relative energy among the computed polymorphs: 18.06 kcal/mol of atoms



DFT (PBE-GGA) results for a relaxed TaNbPd3 crystal.

abc: 4.774 4.774 4.774
angles: 90.00 90.00 90.00
Element x y z (fractional)
Ta 0.000 0.000 0.000
Nb 0.500 0.500 0.500
Pd 0.000 0.000 0.500
Pd 0.000 0.500 0.000
Pd 0.500 0.000 0.000

Computed properties:
SG: No. 221
magnetic moment: 0.395 μB/atom
N(E_F): 0.9625 states/eV/atom
relative energy among the computed polymorphs: 29.61 kcal/mol of atoms



DFT (PBE-GGA) results for a relaxed RbCuRhS2 crystal.

abc: 7.077 7.077 6.631
angles: 90.00 90.00 134.57
Element x y z (fractional)
Rb 0.250 0.750 0.767
Rb 0.750 0.250 0.233
Cu 0.000 0.000 0.500
Cu 0.500 0.500 0.500
Rh 0.250 0.250 0.000
Rh 0.750 0.750 0.000
S 0.092 0.908 0.227
S 0.408 0.592 0.227
S 0.592 0.408 0.773
S 0.908 0.092 0.773

Computed properties:
SG: No. 67
magnetic moment: 0.000 μB/atom
formation energy without anion corrections: -482 meV/atom
N(E_F): 0.5630 states/eV/atom



DFT (PBE-GGA) results for a relaxed V2Pt3Rh crystal.

abc: 7.258 7.258 7.994
angles: 122.99 122.99 30.36
Element x y z (fractional)
V 0.078 0.078 0.217
V 0.251 0.251 0.138
V 0.749 0.749 0.862
V 0.922 0.922 0.783
Pt 0.098 0.098 0.741
Pt 0.255 0.255 0.637
Pt 0.419 0.419 0.548
Pt 0.581 0.581 0.452
Pt 0.745 0.745 0.363
Pt 0.902 0.902 0.259
Rh 0.415 0.415 0.033
Rh 0.585 0.585 0.967

Computed properties:
SG: No. 12
magnetic moment: 0.003 μB/atom
N(E_F): 1.0524 states/eV/atom
relative energy among the computed polymorphs: 0.00 kcal/mol of atoms



DFT (PBE-GGA) results for a relaxed KAs2AuSe crystal.

abc: 5.097 5.097 5.487
angles: 90.00 90.00 90.00
Element x y z (fractional)
K 0.000 0.000 0.000
As 0.000 0.500 0.500
As 0.500 0.000 0.500
Au 0.500 0.500 0.500
Se 0.500 0.500 0.000

Computed properties:
SG: No. 123
magnetic moment: 0.200 μB/atom
formation energy without anion corrections: 224 meV/atom
N(E_F): 0.6585 states/eV/atom
relative energy among the computed polymorphs: 0.00 kcal/mol of atoms



DFT (PBE-GGA) results for a relaxed Te4As crystal.

abc: 5.432 5.432 5.432
angles: 90.00 90.00 90.00
Element x y z (fractional)
Te 0.000 0.000 0.000
Te 0.000 0.500 0.500
Te 0.500 0.000 0.500
Te 0.500 0.500 0.000
As 0.500 0.500 0.500

Computed properties:
SG: No. 221
magnetic moment: 0.000 μB/atom
formation energy without anion corrections: 533 meV/atom
N(E_F): 0.7329 states/eV/atom
relative energy among the computed polymorphs: 6.74 kcal/mol of atoms



DFT (PBE-GGA) results for a relaxed BaNaFe2Si crystal.

abc: 4.910 4.910 5.718
angles: 90.00 90.00 90.00
Element x y z (fractional)
Ba 0.000 0.000 0.000
Na 0.000 0.000 0.500
Fe 0.000 0.500 0.500
Fe 0.500 0.000 0.500
Si 0.500 0.500 0.000

Computed properties:
SG: No. 123
magnetic moment: 1.198 μB/atom
formation energy without anion corrections: 1588 meV/atom
N(E_F): 1.7369 states/eV/atom



DFT (PBE-GGA) results for a relaxed Na2TlGaAu crystal.

abc: 5.611 5.611 4.837
angles: 90.00 90.00 90.00
Element x y z (fractional)
Na 0.000 0.500 0.000
Na 0.500 0.000 0.000
Tl 0.000 0.000 0.500
Ga 0.500 0.500 0.500
Au 0.500 0.500 0.000

Computed properties:
SG: No. 123
magnetic moment: 0.000 μB/atom
N(E_F): 0.6646 states/eV/atom



DFT (PBE-GGA) results for a relaxed CdGa2Sn2Au7 crystal.

abc: 4.475 4.475 12.454
angles: 95.62 95.62 89.34
Element x y z (fractional)
Cd 0.000 0.000 0.000
Ga 0.454 0.454 0.722
Ga 0.546 0.546 0.278
Sn 0.050 0.050 0.325
Sn 0.950 0.950 0.675
Au 0.029 0.537 0.158
Au 0.286 0.286 0.527
Au 0.463 0.971 0.842
Au 0.500 0.500 0.000
Au 0.537 0.029 0.158
Au 0.714 0.714 0.473
Au 0.971 0.463 0.842

Computed properties:
SG: No. 12
magnetic moment: 0.000 μB/atom
N(E_F): 0.2399 states/eV/atom



DFT (PBE-GGA) results for a relaxed Ac2HoThSb4 crystal.

abc: 7.959 4.611 8.033
angles: 90.00 109.38 90.00
Element x y z (fractional)
Ac 0.000 0.000 0.000
Ac 0.500 0.500 0.000
Ho 0.000 0.500 0.500
Th 0.500 0.000 0.500
Sb 0.239 0.000 0.728
Sb 0.253 0.500 0.270
Sb 0.747 0.500 0.730
Sb 0.761 0.000 0.272

Computed properties:
SG: No. 10
magnetic moment: 0.000 μB/atom
formation energy without anion corrections: -1113 meV/atom
N(E_F): 0.2253 states/eV/atom



DFT (PBE-GGA) results for a relaxed Ce6P3Se2Cl crystal.

abc: 9.267 9.267 8.301
angles: 103.62 103.62 25.68
Element x y z (fractional)
Ce 0.004 0.004 0.238
Ce 0.329 0.329 0.426
Ce 0.336 0.336 0.908
Ce 0.664 0.664 0.092
Ce 0.671 0.671 0.574
Ce 0.996 0.996 0.762
P 0.167 0.167 0.334
P 0.500 0.500 0.000
P 0.833 0.833 0.666
Se 0.166 0.166 0.832
Se 0.834 0.834 0.168
Cl 0.500 0.500 0.500

Computed properties:
SG: No. 12
magnetic moment: 0.396 μB/atom
formation energy without anion corrections: -1651 meV/atom
N(E_F): 2.7298 states/eV/atom



DFT (PBE-GGA) results for a relaxed Cs2SnHg3Bi4 crystal.

abc: 5.162 5.162 13.847
angles: 90.00 90.00 90.00
Element x y z (fractional)
Cs 0.000 0.500 0.248
Cs 0.500 0.000 0.752
Sn 0.000 0.000 0.500
Hg 0.000 0.500 0.858
Hg 0.500 0.000 0.142
Hg 0.500 0.500 0.500
Bi 0.000 0.000 0.000
Bi 0.000 0.500 0.628
Bi 0.500 0.000 0.372
Bi 0.500 0.500 0.000

Computed properties:
SG: No. 115
magnetic moment: 0.000 μB/atom
N(E_F): 0.2892 states/eV/atom



DFT (PBE-GGA) results for a relaxed Ac2TbNd crystal.

abc: 3.871 3.871 10.364
angles: 90.00 90.00 90.00
Element x y z (fractional)
Ac 0.000 0.000 0.246
Ac 0.000 0.000 0.754
Tb 0.500 0.500 0.000
Nd 0.500 0.500 0.500

Computed properties:
SG: No. 123
magnetic moment: 0.000 μB/atom
N(E_F): 1.7543 states/eV/atom
relative energy among the computed polymorphs: 0.14 kcal/mol of atoms



Taking the records one at a time from the top gives theoretical density values of 6397 9054 4436 14932 5415 6063 3615 5637 12559 7990 6243 8200 8095 kg/m3.
Taking the records one at a time from the top gives DFT total energy values of -21.9 -32.1 -46.2 -92.8 -16.0 -14.6 -17.7 -11.7 -39.1 -45.6 -80.5 -23.9 -17.5 eV for the cell shown.